Below is a geometry-optimized Ta2CoNi structure, with properties calculated at the PBE level.

Values from the calculation:
For the formation energy, the calculation gives 294 meV per atom. As for the density of states at the Fermi level: 0.9434 states/eV per atom. The calculation puts the total DFT energy (no corrections) at -8.854 eV per atom. Its crystal system is tetragonal.

Unit cell a=6.7457 b=6.7457 c=5.4753 alpha=51.97 beta=51.97 gamma=90.00
Last column: nearest neighbours and their distance in Å.
Fractional positions:
Ni  0.0000  0.0000  0.0000  4 Ta 2.53, 2 Co 2.69
Ni  0.7500  0.2500  0.5000  4 Ta 2.53, 2 Co 2.69
Co  0.5000  0.5000  0.0000  4 Ta 2.43, 2 Ni 2.69
Co  0.2500  0.7500  0.5000  4 Ta 2.43, 2 Ni 2.69
Ta  0.6144  0.1250  0.2500  2 Co 2.43, 2 Ni 2.53, 2 Ta 2.69
Ta  0.1356  0.6250  0.2500  2 Co 2.43, 2 Ni 2.53, 2 Ta 2.69
Ta  0.3750  0.3856  0.7500  2 Co 2.43, 2 Ni 2.53, 2 Ta 2.69
Ta  0.8750  0.8644  0.7500  2 Co 2.43, 2 Ni 2.53, 2 Ta 2.69